Density functional theory data (PBE-GGA) for an optimized crystal structure of KV2CrB.

a b c (Å): 4.3873 4.0349 4.3873
angles (deg): 90.00 90.00 90.00
Fractional positions:
1 Cr 0.0000 0.5000 0.0000
2 K 0.5000 0.5000 0.5000
3 B 0.0000 0.0000 0.0000
4 V 0.0000 0.0000 0.5000
5 V 0.5000 0.0000 0.0000

Calculated values
DFT total energy (Ha/atom): -0.219
Formation energy from the elements (eV/atom): 1.18